Below is a PBEsol-optimized structure of CaTl2Pd2, with properties calculated at the SCAN level.

```
data_CaTl2Pd2
_chemical_formula_sum 'Ca2 Tl4 Pd4'
_cell_length_a 4.138
_cell_length_b 4.138
_cell_length_c 12.908
_cell_angle_alpha 90.00
_cell_angle_beta 90.00
_cell_angle_gamma 90.00
_space_group_name_H-M_alt 'I 4/m m m'
_space_group_IT_number 139
_space_group_name_Hall '-I 4 2'
loop_
_atom_site_label
_atom_site_fract_x
_atom_site_fract_y
_atom_site_fract_z
Ca1 0.000 0.000 0.000
Tl1 0.000 0.000 0.384
Pd1 0.000 0.500 0.250
```

The calculation puts the formation energy at -0.359 eV per atom. For the total magnetic moment, the calculation gives 0.00 Bohr magnetons per cell.



Below is a PBEsol-optimized structure of CaTl3Pd, with properties calculated at the SCAN level.

```
data_CaTl3Pd
_chemical_formula_sum 'Ca1 Tl3 Pd1'
_cell_length_a 5.237
_cell_length_b 5.237
_cell_length_c 5.237
_cell_angle_alpha 90.00
_cell_angle_beta 90.00
_cell_angle_gamma 90.00
_space_group_name_H-M_alt 'P m -3 m'
_space_group_IT_number 221
_space_group_name_Hall '-P 4 2 3'
loop_
_atom_site_label
_atom_site_fract_x
_atom_site_fract_y
_atom_site_fract_z
Ca1 0.000 0.000 0.000
Tl1 0.000 0.500 0.500
Pd1 0.500 0.500 0.500
```

The calculation puts the formation energy at -0.095 eV per atom. For the total magnetic moment, the calculation gives 0.00 Bohr magnetons per cell.



Below is a PBEsol-optimized structure of CaTl2Pd2, with properties calculated at the SCAN level.

```
data_CaTl2Pd2
_chemical_formula_sum 'Ca2 Tl4 Pd4'
_cell_length_a 7.593
_cell_length_b 7.593
_cell_length_c 3.565
_cell_angle_alpha 90.00
_cell_angle_beta 90.00
_cell_angle_gamma 90.00
_space_group_name_H-M_alt 'P 4/m b m'
_space_group_IT_number 127
_space_group_name_Hall '-P 4 2ab'
loop_
_atom_site_label
_atom_site_fract_x
_atom_site_fract_y
_atom_site_fract_z
Ca1 0.000 0.000 0.000
Tl1 0.161 0.339 0.500
Pd1 0.134 0.634 0.000
```

The calculation puts the formation energy at -0.365 eV per atom. For the total magnetic moment, the calculation gives 0.00 Bohr magnetons per cell.



Below is a PBEsol-optimized structure of Ca2TlPd, with properties calculated at the SCAN level.

```
data_Ca2TlPd
_chemical_formula_sum 'Ca8 Tl4 Pd4'
_cell_length_a 7.266
_cell_length_b 7.266
_cell_length_c 7.266
_cell_angle_alpha 90.00
_cell_angle_beta 90.00
_cell_angle_gamma 90.00
_space_group_name_H-M_alt 'F m -3 m'
_space_group_IT_number 225
_space_group_name_Hall '-F 4 2 3'
loop_
_atom_site_label
_atom_site_fract_x
_atom_site_fract_y
_atom_site_fract_z
Ca1 0.250 0.250 0.250
Tl1 0.000 0.000 0.000
Pd1 0.000 0.000 0.500
```

The calculation puts the formation energy at -0.582 eV per atom. For the total magnetic moment, the calculation gives 0.00 Bohr magnetons per cell.



Below is a PBEsol-optimized structure of CaY2Pd2, with properties calculated at the SCAN level.

```
data_CaY2Pd2
_chemical_formula_sum 'Ca2 Y4 Pd4'
_cell_length_a 7.849
_cell_length_b 7.849
_cell_length_c 3.799
_cell_angle_alpha 90.00
_cell_angle_beta 90.00
_cell_angle_gamma 90.00
_space_group_name_H-M_alt 'P 4/m b m'
_space_group_IT_number 127
_space_group_name_Hall '-P 4 2ab'
loop_
_atom_site_label
_atom_site_fract_x
_atom_site_fract_y
_atom_site_fract_z
Ca1 0.000 0.000 0.000
Y1 0.159 0.341 0.500
Pd1 0.132 0.632 0.000
```

The calculation puts the formation energy at -0.779 eV per atom. For the total magnetic moment, the calculation gives 0.00 Bohr magnetons per cell.



Below is a PBEsol-optimized structure of CaZn2Pd2, with properties calculated at the SCAN level.

```
data_CaZn2Pd2
_chemical_formula_sum 'Ca2 Zn4 Pd4'
_cell_length_a 4.002
_cell_length_b 4.002
_cell_length_c 11.349
_cell_angle_alpha 90.00
_cell_angle_beta 90.00
_cell_angle_gamma 90.00
_space_group_name_H-M_alt 'I 4/m m m'
_space_group_IT_number 139
_space_group_name_Hall '-I 4 2'
loop_
_atom_site_label
_atom_site_fract_x
_atom_site_fract_y
_atom_site_fract_z
Ca1 0.000 0.000 0.000
Zn1 0.000 0.500 0.250
Pd1 0.000 0.000 0.385
```

The calculation puts the formation energy at -0.563 eV per atom. For the total magnetic moment, the calculation gives 0.00 Bohr magnetons per cell.